This record from Alexandria describes a geometry-optimized ZnNi2Rh structure. The functional is PBE. Values from VASP.

Quantum ESPRESSO input file:
```
&SYSTEM
  ibrav = 0, nat = 4, ntyp = 3
/
ATOMIC_SPECIES
Ni 58.69 Ni.upf
Rh 102.91 Rh.upf
Zn 65.41 Zn.upf
CELL_PARAMETERS angstrom
-1.9051 -1.3167 1.4368
1.2434 -2.9689 -1.0720
3.3222 -0.1497 4.2677
ATOMIC_POSITIONS crystal
Ni 0.5000 0.5000 0.2396
Ni 0.0000 0.0000 0.0061
Rh 0.0000 0.0000 0.4896
Zn 0.5000 0.5000 0.7647
```

Output
**Calculated density**: 9.5 Mg/m³
**Symmetry**: Pmm2
**DOS(E_F)**: 1.13 states/eV per atom
**Formation energy**: -90 meV per atom



This record from Alexandria describes a geometry-optimized NbZnRe2Au structure. The functional is PBE. Values from VASP.

Quantum ESPRESSO input file:
```
&SYSTEM
  ibrav = 0, nat = 5, ntyp = 4
/
ATOMIC_SPECIES
Au 196.97 Au.upf
Re 186.21 Re.upf
Nb 92.91 Nb.upf
Zn 65.41 Zn.upf
CELL_PARAMETERS angstrom
-1.4450 3.5146 -3.0986
-4.0426 -1.8504 -0.2135
-1.4567 2.7450 3.7928
ATOMIC_POSITIONS crystal
Au 0.0000 0.0000 0.0000
Re 0.0000 0.0000 0.5000
Re 0.5000 0.0000 0.0000
Nb 0.5000 0.5000 0.5000
Zn 0.0000 0.5000 0.0000
```

Output
**Calculated density**: 11.3 Mg/m³
**Symmetry**: P4/mmm
**DOS(E_F)**: 0.90 states/eV per atom
**Formation energy**: 2092 meV per atom



This record from Alexandria describes a geometry-optimized BeNbRe structure. The functional is PBE. Values from VASP.

Quantum ESPRESSO input file:
```
&SYSTEM
  ibrav = 0, nat = 18, ntyp = 3
/
ATOMIC_SPECIES
Nb 92.91 Nb.upf
Be 9.01 Be.upf
Re 186.21 Re.upf
CELL_PARAMETERS angstrom
3.2325 0.0000 0.0000
0.0000 6.6788 0.0000
0.0000 0.0000 11.4726
ATOMIC_POSITIONS crystal
Nb 0.0000 0.7477 0.4478
Nb 0.0000 0.2523 0.9478
Nb 0.0000 0.8421 0.7500
Nb 0.0000 0.7477 0.0522
Nb 0.0000 0.1579 0.2500
Nb 0.0000 0.2523 0.5522
Be 0.0000 0.5467 0.2500
Be 0.5000 0.9460 0.9113
Be 0.5000 0.0540 0.0887
Be 0.5000 0.0540 0.4113
Be 0.5000 0.9460 0.5887
Be 0.0000 0.4533 0.7500
Re 0.5000 0.5808 0.8796
Re 0.5000 0.4192 0.3796
Re 0.5000 0.1980 0.7500
Re 0.5000 0.8020 0.2500
Re 0.5000 0.4192 0.1204
Re 0.5000 0.5808 0.6204
```

Output
**Calculated density**: 11.6 Mg/m³
**Polymorph energy (0 for the lowest one)**: 0.000 eV per atom
**Symmetry**: Pmma
**DOS(E_F)**: 0.41 states/eV per atom
**Formation energy**: -286 meV per atom



This record from Alexandria describes a geometry-optimized Cs4K6Rb structure. The functional is PBE. Values from VASP.

Quantum ESPRESSO input file:
```
&SYSTEM
  ibrav = 0, nat = 11, ntyp = 3
/
ATOMIC_SPECIES
K 39.10 K.upf
Cs 132.91 Cs.upf
Rb 85.47 Rb.upf
CELL_PARAMETERS angstrom
-6.4384 2.1871 6.7913
4.9230 -11.8822 1.6940
6.9651 -0.0567 6.6214
ATOMIC_POSITIONS crystal
K 0.5652 0.8035 0.7617
K 0.4348 0.1965 0.5652
K 0.5000 0.0000 0.0000
K 0.0000 0.0000 0.5000
K 0.7617 0.1965 0.2383
K 0.2383 0.8035 0.4348
Cs 0.0186 0.6322 0.9814
Cs 0.6136 0.6322 0.3864
Cs 0.3864 0.3678 0.0186
Cs 0.9814 0.3678 0.6136
Rb 0.0000 0.0000 0.0000
```

Output
**Calculated density**: 1.4 Mg/m³
**Symmetry**: I-42m
**DOS(E_F)**: 1.05 states/eV per atom
**Formation energy**: 39 meV per atom



Q: Among the records above, which one has the highest calculated density?
A: BeNbRe



Q: Among the records above, which one has the highest calculated density?
A: BeNbRe



What did the second record say?
This record from Alexandria describes a geometry-optimized NbZnRe2Au structure. The functional is PBE. Values from VASP.

Quantum ESPRESSO input file:
```
&SYSTEM
  ibrav = 0, nat = 5, ntyp = 4
/
ATOMIC_SPECIES
Au 196.97 Au.upf
Re 186.21 Re.upf
Nb 92.91 Nb.upf
Zn 65.41 Zn.upf
CELL_PARAMETERS angstrom
-1.4450 3.5146 -3.0986
-4.0426 -1.8504 -0.2135
-1.4567 2.7450 3.7928
ATOMIC_POSITIONS crystal
Au 0.0000 0.0000 0.0000
Re 0.0000 0.0000 0.5000
Re 0.5000 0.0000 0.0000
Nb 0.5000 0.5000 0.5000
Zn 0.0000 0.5000 0.0000
```

Output
**Calculated density**: 11.3 Mg/m³
**Symmetry**: P4/mmm
**DOS(E_F)**: 0.90 states/eV per atom
**Formation energy**: 2092 meV per atom